VASP calculation (PBE-GGA) on a relaxed structure of Pr4SiHS2.

abc: 5.810 5.810 11.697
angles: 90.00 90.00 90.00
Space group I-4m2 (No. 119)
Unique sites:
Pr  0.000  0.000  0.243 x4
Pr  0.000  0.500  0.002 x4
Si  0.000  0.500  0.750 x2
H  0.000  0.000  0.500 x2
S  0.000  0.000  0.000 x2
S  0.000  0.500  0.250 x2

E = -91.87 eV/cell